Material: Li2TePb
Method: DFT, GGA-PBE
State: optimized geometry

```
Li2TePb
1.0
3.922 0.000 0.000
0.000 4.220 0.000
0.000 0.000 11.558
Li Te Pb
4 2 2
direct
0.000 0.000 0.000
0.000 0.500 0.198
0.500 0.000 0.698
0.500 0.500 0.500
0.000 0.500 0.672
0.500 0.000 0.172
0.000 0.000 0.420
0.500 0.500 0.920
```

Output
Mass density, g cm⁻³: 6.05
Symmetry: Imm2 (44)
Total moment, μB per formula unit: 0.0
E_form (uncorrected), eV per atom: -0.4705
Density of states at the Fermi level, states/eV per atom: 0.27

Material: CuPt2W
Method: DFT, GGA-PBE
State: optimized geometry

```
CuPt2W
1.0
4.725 0.000 0.000
0.000 4.725 0.000
0.000 0.000 2.746
Cu Pt W
1 2 1
direct
0.000 0.000 0.000
0.000 0.500 0.500
0.500 0.000 0.500
0.500 0.500 0.000
```

Output
Mass density, g cm⁻³: 17.26
Formation energy from the elements, eV/atom: -0.004
Symmetry: P4/mmm (123)
Total moment, μB per formula unit: 0.0
Density of states at the Fermi level, states/eV per atom: 0.99

Material: MgCr3Ni
Method: DFT, GGA-PBE
State: optimized geometry

```
MgCr3Ni
1.0
4.589 0.000 0.000
0.000 4.589 0.000
0.000 0.000 4.589
Mg Cr Ni
1 3 1
direct
0.000 0.000 0.000
0.000 0.500 0.500
0.500 0.000 0.500
0.500 0.500 0.000
0.500 0.500 0.500
```

Output
Mass density, g cm⁻³: 4.11
Formation energy from the elements, eV/atom: 1.035
Symmetry: Pm-3m (221)
Total moment, μB per formula unit: 11.8
Density of states at the Fermi level, states/eV per atom: 1.33

Material: H2Cl3F8
Method: DFT, GGA-PBE
State: optimized geometry

```
H2Cl3F8
1.0
4.774 -4.362 0.000
4.774 4.362 0.000
-1.654 0.000 11.073
H Cl F
4 6 16
direct
0.119 0.629 0.865
0.371 0.881 0.635
0.629 0.119 0.365
0.881 0.371 0.135
0.048 0.952 0.250
0.348 0.512 0.132
0.488 0.652 0.368
0.512 0.348 0.632
0.652 0.488 0.868
0.952 0.048 0.750
0.076 0.889 0.860
0.111 0.924 0.640
0.155 0.485 0.876
0.175 0.768 0.365
0.232 0.825 0.135
0.265 0.448 0.620
0.448 0.265 0.120
0.485 0.155 0.376
0.515 0.845 0.624
0.552 0.735 0.880
0.735 0.552 0.380
0.768 0.175 0.865
0.825 0.232 0.635
0.845 0.515 0.124
0.889 0.076 0.360
0.924 0.111 0.140
```

Output
Mass density, g cm⁻³: 1.88
Symmetry: C2/c (15)
Total moment, μB per formula unit: 0.9
VASP energy, eV/atom: -2.913

Material: Cs3Ho2US6
Method: DFT, GGA-PBE
State: optimized geometry

```
Cs3Ho2US6
1.0
3.559 -6.166 0.000
3.559 6.166 0.000
-2.374 0.000 8.067
Cs Ho U S
3 2 1 6
direct
0.000 0.000 0.000
0.333 0.667 0.000
0.667 0.333 0.000
0.167 0.833 0.500
0.833 0.167 0.500
0.500 0.500 0.500
0.104 0.440 0.319
0.225 0.225 0.681
0.440 0.104 0.319
0.560 0.896 0.681
0.775 0.775 0.319
0.896 0.560 0.681
```

Output
Mass density, g cm⁻³: 5.44
Symmetry: C2/m (12)
Total moment, μB per formula unit: 2.9
E_form (uncorrected), eV per atom: -1.6445
Density of states at the Fermi level, states/eV per atom: 0.66

Material: Ta4BiTe8
Method: DFT, GGA-PBE
State: optimized geometry

```
Ta4BiTe8
1.0
3.684 2.127 8.763
-3.684 2.127 8.763
0.000 -4.254 8.763
Ta Bi Te
4 1 8
direct
0.000 0.000 0.000
0.000 0.500 0.500
0.500 0.000 0.500
0.500 0.500 0.000
0.500 0.500 0.500
0.239 0.239 0.733
0.239 0.733 0.239
0.263 0.263 0.263
0.267 0.761 0.761
0.733 0.239 0.239
0.737 0.737 0.737
0.761 0.267 0.761
0.761 0.761 0.267
```

Output
Mass density, g cm⁻³: 7.87
Symmetry: R-3m (166)
Total moment, μB per formula unit: 0.0
E_form (uncorrected), eV per atom: -0.1772
Density of states at the Fermi level, states/eV per atom: 0.67

Q: What is the formula in the second record?
A: CuPt2W